No. 1
The following is a DFT calculation (GGA-PBE) of TaCo5 after structural relaxation.

a = 4.0855 Å, b = 2.6660 Å, c = 13.1805 Å
α = 90.00°, β = 90.00°, γ = 90.00°
With the nearest neighbours (Å) after each atom.
Space group Amm2 (No. 38)
Symmetry-distinct sites (fractional):
Ta: 0.0000 0.0000 0.0000 (multiplicity 2)  10 Co 2.56-2.67, 2 Ta 2.67
Co: 0.0000 0.0000 0.3278 (multiplicity 2)  10 Co 2.41-2.67, 2 Ta 2.63
Co: 0.0000 0.0000 0.6756 (multiplicity 2)  10 Co 2.41-2.67, 2 Ta 2.67
Co: 0.5000 0.0000 0.2177 (multiplicity 2)  12 Co 2.48-2.67
Co: 0.5000 0.0000 0.5592 (multiplicity 2)  8 Co 2.48-2.72, 4 Ta 2.56
Co: 0.5000 0.0000 0.8794 (multiplicity 2)  10 Co 2.51-2.72, 2 Ta 2.59

Output
- calculated formation energy (eV per atom) = 0.03
- calculated volume (Å³ per cell) = 143.6
- magnetization (μB/cell) = 10.80
- crystal system = orthorhombic
- Fermi-level density of states (states/eV per atom) = 1.096

No. 2
The following is a DFT calculation (GGA-PBE) of Nd2SnH2 after structural relaxation.

a = 4.1425 Å, b = 4.1425 Å, c = 11.1526 Å
α = 90.00°, β = 90.00°, γ = 90.00°
With the nearest neighbours (Å) after each atom.
Space group I4/mmm (No. 139)
Symmetry-distinct sites (fractional):
Nd: 0.0000 0.0000 0.1519 (multiplicity 4)  4 H 2.34
Sn: 0.0000 0.0000 0.5000 (multiplicity 2)  8 Nd 3.38, 8 H 3.47
H: 0.0000 0.5000 0.2500 (multiplicity 4)  4 Nd 2.34

Output
- calculated volume (Å³ per cell) = 191.4
- magnetization (μB/cell) = 0.00
- crystal system = tetragonal
- Fermi-level density of states (states/eV per atom) = 0.168

The records above yield energy values of -7.869; -4.757 eV per atom, respectively.